AcPr after structural relaxation, computed with GGA-PBE.

Unit cell a=7.257 b=7.257 c=7.257 alpha=90.00 beta=90.00 gamma=90.00
Space group F-43m (No. 216)
Asymmetric unit:
Ac 0.000 0.000 0.000 x4
Pr 0.250 0.250 0.750 x4

## Properties
* formation energy from the elements: 3.16 eV per formula unit


SrHoTe3Pd after structural relaxation, computed with GGA-PBE.

Unit cell a=14.450 b=4.351 c=11.577 alpha=90.00 beta=90.00 gamma=90.00
Space group Pnma (No. 62)
Asymmetric unit:
Sr 0.220 0.250 0.050 x4
Ho 0.020 0.250 0.328 x4
Te 0.100 0.750 0.887 x4
Te 0.108 0.250 0.570 x4
Te 0.157 0.750 0.259 x4
Pd 0.009 0.750 0.095 x4

## Properties
* total DFT energy (no corrections): -112.9 eV per cell


Sc2Co2Tc after structural relaxation, computed with GGA-PBE.

Unit cell a=6.508 b=10.003 c=4.891 alpha=90.00 beta=90.06 gamma=90.00
Space group C2/m (No. 12)
Asymmetric unit:
Sc 0.158 0.165 0.250 x8
Co 0.000 0.387 0.000 x4
Co 0.000 0.387 0.500 x4
Tc 0.212 0.000 0.749 x4

## Properties
* formation energy from the elements: -0.24 eV per formula unit


MgScCuSb after structural relaxation, computed with GGA-PBE.

Unit cell a=6.835 b=6.835 c=6.835 alpha=90.00 beta=90.00 gamma=90.00
Space group F-43m (No. 216)
Asymmetric unit:
Mg 0.000 0.000 0.000 x4
Sc 0.250 0.250 0.250 x4
Cu 0.250 0.250 0.750 x4
Sb 0.000 0.000 0.500 x4

## Properties
* total DFT energy (no corrections): -63.5 eV per cell


ZnPPdO after structural relaxation, computed with GGA-PBE.

Unit cell a=3.823 b=3.823 c=7.969 alpha=90.00 beta=90.00 gamma=90.00
Space group P4/nmm (No. 129, origin choice 2)
Asymmetric unit:
Zn 0.250 0.750 0.000 x2
P 0.250 0.250 0.198 x2
Pd 0.250 0.250 0.617 x2
O 0.250 0.750 0.500 x2

## Properties
* total DFT energy (no corrections): -32.2 eV per cell


AcLu after structural relaxation, computed with GGA-PBE.

Unit cell a=7.378 b=7.378 c=7.378 alpha=90.00 beta=90.00 gamma=90.00
Space group F-43m (No. 216)
Asymmetric unit:
Ac 0.000 0.000 0.000 x4
Lu 0.250 0.250 0.750 x4

## Properties
* formation energy from the elements: 3.56 eV per formula unit


Na2AlInAg2Au2 after structural relaxation, computed with GGA-PBE.

Unit cell a=4.668 b=4.668 c=6.949 alpha=90.00 beta=90.00 gamma=90.00
Space group P-4m2 (No. 115)
Asymmetric unit:
Na 0.000 0.000 0.000 x1
Na 0.500 0.500 0.500 x1
Al 0.000 0.000 0.500 x1
In 0.500 0.500 0.000 x1
Ag 0.000 0.500 0.733 x2
Au 0.000 0.500 0.275 x2

## Properties
* total DFT energy (no corrections): -22.8 eV per cell


Zr32C31 after structural relaxation, computed with GGA-PBE.

Unit cell a=9.439 b=9.439 c=9.439 alpha=90.00 beta=90.00 gamma=90.00
Space group Pm-3m (No. 221)
Asymmetric unit:
Zr 0.000 0.000 0.250 x6
Zr 0.000 0.248 0.500 x12
Zr 0.241 0.500 0.500 x6
Zr 0.250 0.250 0.250 x8
C 0.000 0.000 0.000 x1
C 0.000 0.000 0.500 x3
C 0.000 0.250 0.250 x12
C 0.000 0.500 0.500 x3
C 0.251 0.251 0.500 x12

## Properties
* total DFT energy (no corrections): -610.3 eV per cell